# 1
Density functional theory data (PBE-GGA) for TaGeIr2C after structural relaxation.

abc: 4.7779 5.0075 4.7779
angles: 90.00 90.00 90.00
Each line ends with the local moment (μB).
Element x y z (fractional)
1 Ge 0.0000 0.5000 0.0000  -0.01
2 Ir 0.0000 0.0000 0.5000  0.03
3 Ir 0.5000 0.0000 0.0000  0.03
4 C 0.5000 0.5000 0.5000  0.46
5 Ta 0.0000 0.0000 0.0000  -0.04

Values from the calculation:
SG: P4/mmm, No. 123
Volume, Å³ per cell: 114
DOS at the Fermi energy, states/eV per cell: 4.1

# 2
Density functional theory data (PBE-GGA) for TcGe2IrC after structural relaxation.

abc: 4.7256 4.7589 4.7256
angles: 90.00 90.00 90.00
Each line ends with the local moment (μB).
Element x y z (fractional)
1 C 0.5000 0.5000 0.5000  0.61
2 Ge 0.0000 0.0000 0.5000  -0.04
3 Ge 0.5000 0.0000 0.0000  -0.01
4 Ir 0.0000 0.5000 0.0000  -0.33
5 Tc 0.0000 0.0000 0.0000  0.12

Values from the calculation:
SG: P4/mmm, No. 123
Volume, Å³ per cell: 106
DOS at the Fermi energy, states/eV per cell: 3.8

# 3
Density functional theory data (PBE-GGA) for Ti2GeIrC after structural relaxation.

abc: 4.9192 3.7850 4.9192
angles: 90.00 90.00 90.00
Element x y z (fractional)
1 Ge 0.5000 0.5000 0.5000
2 Ir 0.0000 0.0000 0.0000
3 C 0.0000 0.5000 0.0000
4 Ti 0.0000 0.0000 0.5000
5 Ti 0.5000 0.0000 0.0000

Values from the calculation:
SG: P4/mmm, No. 123
Volume, Å³ per cell: 92
DOS at the Fermi energy, states/eV per cell: 4.9

# 4
Density functional theory data (PBE-GGA) for KGeC after structural relaxation.

abc: 6.0572 4.1261 6.1859
angles: 90.00 102.08 90.00
Element x y z (fractional)
1 C 0.9114 0.5000 0.5392
2 C 0.0886 0.5000 0.4608
3 Ge 0.6525 0.5000 0.6754
4 Ge 0.3475 0.5000 0.3246
5 K 0.2224 0.0000 0.8050
6 K 0.7776 0.0000 0.1950

Values from the calculation:
SG: P2/m, No. 10
Volume, Å³ per cell: 151
DOS at the Fermi energy, states/eV per cell: 1.8

# 5
Density functional theory data (PBE-GGA) for KGeC2 after structural relaxation.

abc: 4.7956 4.7956 6.8904
angles: 69.64 69.64 90.00
Element x y z (fractional)
1 C 0.8746 0.1250 0.2500
2 C 0.8754 0.6250 0.2500
3 C 0.3750 0.1254 0.7500
4 C 0.8750 0.1246 0.7500
5 Ge 0.0000 0.0000 0.0000
6 Ge 0.7500 0.2500 0.5000
7 K 0.5000 0.5000 0.0000
8 K 0.2500 0.7500 0.5000

Values from the calculation:
SG: I4_1/amd, No. 141
Volume, Å³ per cell: 138
DOS at the Fermi energy, states/eV per cell: 3.8

# 6
Density functional theory data (PBE-GGA) for K3GeC after structural relaxation.

abc: 5.7217 5.7217 5.7217
angles: 90.00 90.00 90.00
Each line ends with the local moment (μB).
Element x y z (fractional)
1 C 0.0000 0.0000 0.0000  1.08
2 Ge 0.5000 0.5000 0.5000  0.70
3 K 0.0000 0.5000 0.0000  0.05
4 K 0.0000 0.0000 0.5000  0.05
5 K 0.5000 0.0000 0.0000  0.05

Values from the calculation:
SG: Pm-3m, No. 221
Volume, Å³ per cell: 187
DOS at the Fermi energy, states/eV per cell: 4.8

# 7
Density functional theory data (PBE-GGA) for K2GeC after structural relaxation.

abc: 5.4773 5.4773 5.4773
angles: 60.00 60.00 60.00
Each line ends with the local moment (μB).
Element x y z (fractional)
1 C 0.0000 0.0000 0.0000  0.94
2 Ge 0.5000 0.5000 0.5000  -0.78
3 K 0.2500 0.2500 0.2500  -0.03
4 K 0.7500 0.7500 0.7500  -0.03

Values from the calculation:
SG: Fm-3m, No. 225
Volume, Å³ per cell: 116
DOS at the Fermi energy, states/eV per cell: 0.0

# 8
Density functional theory data (PBE-GGA) for KGeC after structural relaxation.

abc: 7.4748 4.2515 11.6151
angles: 90.00 123.38 90.00
Element x y z (fractional)
1 C 0.4680 0.0000 0.3365
2 C 0.4680 0.5000 0.8365
3 C 0.5163 0.0000 0.4587
4 C 0.5163 0.5000 0.9587
5 Ge 0.3819 0.0000 0.1426
6 Ge 0.3819 0.5000 0.6426
7 Ge 0.6120 0.0000 0.6542
8 Ge 0.6120 0.5000 0.1542
9 K 0.7855 0.0000 0.9793
10 K 0.7855 0.5000 0.4793
11 K 0.0804 0.0000 0.3588
12 K 0.0804 0.5000 0.8588

Values from the calculation:
SG: Cm, No. 8
Volume, Å³ per cell: 308
DOS at the Fermi energy, states/eV per cell: 0.7

# 9
Density functional theory data (PBE-GGA) for KGeC after structural relaxation.

abc: 4.6893 4.0211 17.8410
angles: 90.00 104.97 90.00
Element x y z (fractional)
1 C 0.5216 0.0000 0.5886
2 C 0.5216 0.5000 0.0886
3 C 0.4483 0.0000 0.5155
4 C 0.4483 0.5000 0.0155
5 Ge 0.2522 0.0000 0.8257
6 Ge 0.2522 0.5000 0.3257
7 Ge 0.3353 0.0000 0.4033
8 Ge 0.3353 0.5000 0.9033
9 K 0.9513 0.0000 0.0192
10 K 0.9513 0.5000 0.5192
11 K 0.6474 0.0000 0.2176
12 K 0.6474 0.5000 0.7176

Values from the calculation:
SG: Cm, No. 8
Volume, Å³ per cell: 325
DOS at the Fermi energy, states/eV per cell: 2.2

# 10
Density functional theory data (PBE-GGA) for KGeC after structural relaxation.

abc: 4.0609 6.6053 6.8186
angles: 61.47 73.89 85.68
Element x y z (fractional)
1 C 0.6627 0.3749 0.0747
2 C 0.7713 0.2875 0.2577
3 Ge 0.9577 0.6714 0.0146
4 Ge 0.5613 0.6090 0.7889
5 K 0.2720 0.9266 0.2876
6 K 0.1082 0.2704 0.5927

Values from the calculation:
SG: P1, No. 1
Volume, Å³ per cell: 154

# 11
Density functional theory data (PBE-GGA) for KGe2C after structural relaxation.

abc: 6.4963 6.4963 6.4577
angles: 59.80 59.80 90.00
Element x y z (fractional)
1 C 0.5000 0.5000 0.0000
2 C 0.2500 0.7500 0.5000
3 Ge 0.4825 0.1250 0.2500
4 Ge 0.2675 0.6250 0.2500
5 Ge 0.3750 0.5175 0.7500
6 Ge 0.8750 0.7325 0.7500
7 K 0.0000 0.0000 0.0000
8 K 0.7500 0.2500 0.5000

Values from the calculation:
SG: I-42d, No. 122
Volume, Å³ per cell: 192
DOS at the Fermi energy, states/eV per cell: 3.0

# 12
Density functional theory data (PBE-GGA) for KGeC after structural relaxation.

abc: 6.2740 4.1476 11.7491
angles: 90.00 111.78 90.00
Element x y z (fractional)
1 C 0.5198 0.0000 0.9511
2 C 0.4802 0.0000 0.0489
3 C 0.5198 0.5000 0.4511
4 C 0.4802 0.5000 0.5489
5 Ge 0.6231 0.0000 0.8116
6 Ge 0.3769 0.0000 0.1884
7 Ge 0.6231 0.5000 0.3116
8 Ge 0.3769 0.5000 0.6884
9 K 0.1527 0.0000 0.3999
10 K 0.8473 0.0000 0.6001
11 K 0.1527 0.5000 0.8999
12 K 0.8473 0.5000 0.1001

Values from the calculation:
SG: C2/m, No. 12
Volume, Å³ per cell: 284
DOS at the Fermi energy, states/eV per cell: 0.5

Here are the calculated VASP energy numbers, same order: -6.101; -5.526; -7.153; -4.766; -4.599; -2.346; -2.603; -4.780; -4.726; -4.670; -4.081; -4.819 (eV per atom).